Compound: KMn2Br4
Source: Alexandria via LeMat-Bulk
Functional: GGA-PBE
Structure: optimized geometry

Cell lengths 8.754, 8.754, 5.998 Å; angles 90.00, 90.00, 90.00 degrees
Space group I4/m (No. 87)
Unique sites:
K (0.000, 0.000, 0.000) [2 per cell]
Mn (0.000, 0.500, 0.250) [4 per cell]
Br (0.147, 0.685, 0.500) [8 per cell]

- density of states at the Fermi level (states/eV per atom) = 0.2096

Compound: KMn4Br
Source: Alexandria via LeMat-Bulk
Functional: GGA-PBE
Structure: optimized geometry

Cell lengths 8.050, 8.050, 8.050 Å; angles 90.00, 90.00, 90.00 degrees
Space group F-43m (No. 216)
Unique sites:
K (0.000, 0.000, 0.000) [4 per cell]
Mn (0.127, 0.127, 0.627) [16 per cell]
Br (0.250, 0.250, 0.250) [4 per cell]

- density of states at the Fermi level (states/eV per atom) = 1.0381

Compound: K2MnBr
Source: Alexandria via LeMat-Bulk
Functional: GGA-PBE
Structure: optimized geometry

Cell lengths 5.536, 5.547, 9.324 Å; angles 90.00, 90.00, 90.00 degrees
Space group Cmmm (No. 65)
Unique sites:
K (0.000, 0.000, 0.214) [4 per cell]
Mn (0.000, 0.500, 0.500) [2 per cell]
Br (0.000, 0.500, 0.000) [2 per cell]

- density of states at the Fermi level (states/eV per atom) = 0.9960
- energy above the lowest structure with this stoichiometry (meV per atom) = 0

Compound: K3Mn5Br12
Source: Alexandria via LeMat-Bulk
Functional: GGA-PBE
Structure: optimized geometry

Cell lengths 17.212, 17.212, 17.212 Å; angles 90.00, 90.00, 90.00 degrees
Space group Ia-3d (No. 230)
Unique sites:
K (0.000, 0.250, 0.125) [24 per cell]
Mn (0.000, 0.000, 0.000) [16 per cell]
Mn (0.000, 0.250, 0.375) [24 per cell]
Br (0.034, 0.052, 0.647) [96 per cell]

- density of states at the Fermi level (states/eV per atom) = 0.5050

Compound: K3Mn2Br7
Source: Alexandria via LeMat-Bulk
Functional: GGA-PBE
Structure: optimized geometry

Cell lengths 5.413, 27.653, 5.302 Å; angles 90.00, 90.00, 90.00 degrees
Space group Cmmm (No. 65)
Unique sites:
K (0.000, 0.000, 0.000) [2 per cell]
K (0.000, 0.174, 0.000) [4 per cell]
Mn (0.000, 0.400, 0.500) [4 per cell]
Br (0.000, 0.094, 0.500) [4 per cell]
Br (0.000, 0.306, 0.500) [4 per cell]
Br (0.000, 0.405, 0.000) [4 per cell]
Br (0.000, 0.500, 0.500) [2 per cell]

- energy above the lowest structure with this stoichiometry (meV per atom) = 23

Compound: KMn2Br
Source: Alexandria via LeMat-Bulk
Functional: GGA-PBE
Structure: optimized geometry

Cell lengths 4.174, 4.174, 6.838 Å; angles 90.00, 90.00, 90.00 degrees
Space group P4/mmm (No. 123)
Unique sites:
K (0.000, 0.000, 0.000) [1 per cell]
Mn (0.000, 0.500, 0.500) [2 per cell]
Br (0.500, 0.500, 0.000) [1 per cell]

- density of states at the Fermi level (states/eV per atom) = 0.8166
- energy above the lowest structure with this stoichiometry (meV per atom) = 183

Number 1: E_form (uncorrected) -5.80 eV per formula unit, final energy -4.561 eV per atom. Number 2: E_form (uncorrected) 4.80 eV per formula unit, final energy -5.775 eV per atom. Number 3: E_form (uncorrected) -0.77 eV per formula unit, final energy -3.452 eV per atom. Number 4: E_form (uncorrected) -19.75 eV per formula unit, final energy -4.448 eV per atom. Number 5: E_form (uncorrected) -14.58 eV per formula unit, final energy -3.993 eV per atom. Number 6: E_form (uncorrected) 1.54 eV per formula unit, final energy -4.892 eV per atom.